1.
Compound: SrLiAs2S4
Source: Alexandria
Functional: PBE
Structure: relaxed

abc: 6.7731 6.1136 6.1136
angles: 65.81 56.36 56.36
Closest atoms and distances in Å follow each position.
Atoms (fractional coordinates):
Sr 0.0000 0.0000 0.0000  8 S 3.03-3.23
Li 0.5000 0.5000 0.5000  4 S 2.45
As 0.2003 0.2997 0.2997  4 S 2.42-2.58
As 0.7997 0.7003 0.7003  4 S 2.42-2.58
S 0.4783 0.0914 0.5574  2 As 2.42-2.58, 1 Li 2.45
S 0.1271 0.9086 0.4426  2 As 2.42-2.58, 1 Li 2.45
S 0.8729 0.5574 0.0914  2 As 2.42-2.58, 1 Li 2.45
S 0.5217 0.4426 0.9086  2 As 2.42-2.58, 1 Li 2.45

Properties
Formation energy (no corrections): -0.7187 eV/atom
M_tot: 0.000 μB/cell

2.
Compound: NaTl8In4
Source: Alexandria
Functional: PBE
Structure: relaxed

abc: 8.5851 8.5851 8.5851
angles: 60.00 60.00 60.00
Closest atoms and distances in Å follow each position.
Atoms (fractional coordinates):
Na 0.7500 0.7500 0.7500  4 Tl 3.10
Tl 0.7138 0.0954 0.0954  3 In 3.21, 3 Tl 3.28
Tl 0.0954 0.7138 0.0954  3 In 3.21, 3 Tl 3.28
Tl 0.0954 0.0954 0.7138  3 In 3.21, 3 Tl 3.28
Tl 0.0954 0.0954 0.0954  3 In 3.21, 3 Tl 3.28
Tl 0.1917 0.6028 0.6028  1 Na 3.10, 3 In 3.23
Tl 0.6028 0.1917 0.6028  1 Na 3.10, 3 In 3.23
Tl 0.6028 0.6028 0.1917  1 Na 3.10, 3 In 3.23
Tl 0.6028 0.6028 0.6028  1 Na 3.10, 3 In 3.23
In 0.9610 0.3463 0.3463  6 Tl 3.21-3.23, 3 In 3.31
In 0.3463 0.9610 0.3463  6 Tl 3.21-3.23, 3 In 3.31
In 0.3463 0.3463 0.9610  6 Tl 3.21-3.23, 3 In 3.31
In 0.3463 0.3463 0.3463  6 Tl 3.21-3.23, 3 In 3.31

Properties
E above lowest polymorph: 93 meV per atom
M_tot: 0.000 μB/cell
Energy of formation from the pure elements: 105 meV/atom

| no. | DOS at the Fermi energy (states/eV/f.u.) | E (eV/atom) |
| --- | --- | --- |
| 1 | 3.1 | -4.3943 |
| 2 | 7.4 | -2.2956 |